Entry 1:
## BeZnIr2 (meta-GGA SCAN)

Data for a PBEsol-optimized structure of BeZnIr2.

```
BeZnIr2
1.0
-0.675 2.177 1.531
-0.552 -0.318 2.671
7.020 1.747 3.071
Ir Be Zn
2 1 1
direct
0.742 0.742 0.773
0.258 0.258 0.227
0.000 0.000 0.000
0.500 0.500 0.500
```

Properties
As for the formation energy: -7.70 kcal/mol of atoms. The space group is R-3m, No. 166. The calculation puts the total magnetic moment at 0.00 μB/cell. The volume comes out at 50 Å³/cell. For the distance to the lowest polymorph of the same formula, the calculation gives 67 meV per atom.

Entry 2:
## Be4ZnIr (meta-GGA SCAN)

Data for a PBEsol-optimized structure of Be4ZnIr.

```
Be4ZnIr
1.0
-3.799 1.578 1.274
-3.581 -0.984 -2.180
-2.939 -2.614 1.754
Be Zn Ir
4 1 1
direct
0.375 0.874 0.375
0.874 0.375 0.375
0.375 0.375 0.874
0.375 0.375 0.375
0.000 0.000 0.000
0.750 0.750 0.750
```

Properties
As for the formation energy: -10.68 kcal/mol of atoms. The space group is F-43m, No. 216. The calculation puts the total magnetic moment at 0.00 μB/cell. The volume comes out at 56 Å³/cell.